# 1
Ca2AsPb | GGA-PBE | optimized geometry

a b c (Å): 4.3071 4.3071 6.4520
angles (deg): 90.00 90.00 90.00
With the nearest neighbours (Å) after each atom.
Fractional coordinates of all 4 atoms:
1 Pb 0.0000 0.0000 0.4611  5 Ca 3.02-3.24
2 As 0.5000 0.5000 0.8185  6 Ca 3.05-3.40
3 Ca 0.0000 0.0000 0.9291  1 Pb 3.02, 4 As 3.13
4 Ca 0.5000 0.5000 0.2913  2 As 3.05-3.40, 4 Pb 3.24

## Properties
Fermi-level density of states, states/eV/atom: 1.07
Spin magnetization, Bohr magnetons per cell: 0.0
Energy relative to the lowest polymorph listed for this composition, meV/atom: 323

# 2
HfSc2Hg | GGA-PBE | optimized geometry

a b c (Å): 4.4380 4.4465 4.4465
angles (deg): 90.00 90.00 90.00
With the nearest neighbours (Å) after each atom.
Fractional coordinates of all 4 atoms:
1 Sc 0.0000 0.0000 0.5000  4 Hg 3.14, 4 Hf 3.14, 4 Sc 3.14
2 Sc 0.0000 0.5000 0.0000  4 Hg 3.14, 4 Hf 3.14, 4 Sc 3.14
3 Hf 0.5000 0.0000 0.0000  8 Sc 3.14, 4 Hg 3.14
4 Hg 0.5000 0.5000 0.5000  8 Sc 3.14, 4 Hf 3.14

## Properties
Fermi-level density of states, states/eV/atom: 1.20
Spin magnetization, Bohr magnetons per cell: 1.5
Final energy, eV per atom: -5.8253

Q: Which value of Fermi-level density of states does entry 2 give?
A: 1.20 states/eV/atom

Q: Which value of spin magnetization does entry 1 give?
A: 0.0 Bohr magnetons per cell

Q: What is the formula in the second record?
A: HfSc2Hg